# Sc6AlP2Se3 | Alexandria via LeMat-Bulk | PBE | optimized geometry
# Total magnetization   0.000 μB/atom
# Volume   243.2 Å³/f.u.
# E   -6.6063 eV per atom
# Uncorrected formation energy   -1.356 eV/atom
data_Sc6AlP2Se3
_cell_length_a 16.8948
_cell_length_b 3.7841
_cell_length_c 7.8485
_cell_angle_alpha 90.00
_cell_angle_beta 104.23
_cell_angle_gamma 90.00
_space_group_name_H-M_alt 'C 1 2/m 1'
_space_group_IT_number 12
loop_
_space_group_symop_operation_xyz
'x,y,z'
'-x,-y,-z'
'-x,y,-z'
'x,-y,z'
'x+1/2,y+1/2,z'
'-x+1/2,-y+1/2,-z'
'-x+1/2,y+1/2,-z'
'x+1/2,-y+1/2,z'
loop_
_atom_site_label
_atom_site_type_symbol
_atom_site_fract_x
_atom_site_fract_y
_atom_site_fract_z
Sc1 Sc 0.0044 0.0000 0.2575
Sc2 Sc 0.1683 0.5000 0.0998
Sc3 Sc 0.1737 0.5000 0.5695
Al1 Al 0.0000 0.5000 0.0000
P1 P 0.1669 0.0000 0.3342
Se1 Se 0.0000 0.5000 0.5000
Se2 Se 0.1663 0.0000 0.8307

---

# ScAlSn2P | Alexandria via LeMat-Bulk | PBE | optimized geometry
# Formation energy from the elements   40 kJ/mol of atoms
# Total magnetization   0.000 μB/atom
# Volume   148.0 Å³/f.u.
# E   -4.2792 eV per atom
data_ScAlSn2P
_cell_length_a 5.5087
_cell_length_b 5.5087
_cell_length_c 4.8779
_cell_angle_alpha 90.00
_cell_angle_beta 90.00
_cell_angle_gamma 90.00
_space_group_name_H-M_alt 'P 4/m m m'
_space_group_IT_number 123
_space_group_name_Hall '-P 4 2'
loop_
_atom_site_label
_atom_site_type_symbol
_atom_site_fract_x
_atom_site_fract_y
_atom_site_fract_z
Sc1 Sc 0.0000 0.0000 0.0000
Al1 Al 0.5000 0.5000 0.5000
Sn1 Sn 0.0000 0.5000 0.0000
P1 P 0.0000 0.0000 0.5000

---

# ScAl2TcP | Alexandria via LeMat-Bulk | PBE | optimized geometry
# Formation energy from the elements   19 kJ/mol of atoms
# Total magnetization   0.000 μB/atom
# Volume   94.0 Å³/f.u.
# E   -5.7196 eV per atom
data_ScAl2TcP
_cell_length_a 4.6320
_cell_length_b 4.6320
_cell_length_c 4.3798
_cell_angle_alpha 90.00
_cell_angle_beta 90.00
_cell_angle_gamma 90.00
_space_group_name_H-M_alt 'P 4/m m m'
_space_group_IT_number 123
_space_group_name_Hall '-P 4 2'
loop_
_atom_site_label
_atom_site_type_symbol
_atom_site_fract_x
_atom_site_fract_y
_atom_site_fract_z
Sc1 Sc 0.0000 0.0000 0.0000
Al1 Al 0.0000 0.5000 0.5000
Tc1 Tc 0.5000 0.5000 0.0000
P1 P 0.5000 0.5000 0.5000

---

# ScAlTe2P | Alexandria via LeMat-Bulk | PBE | optimized geometry
# Total magnetization   0.453 μB/atom
# Volume   167.1 Å³/f.u.
# E   -3.7672 eV per atom
# Uncorrected formation energy   0.586 eV/atom
data_ScAlTe2P
_cell_length_a 5.4866
_cell_length_b 5.4866
_cell_length_c 5.5523
_cell_angle_alpha 90.00
_cell_angle_beta 90.00
_cell_angle_gamma 90.00
_space_group_name_H-M_alt 'P 4/m m m'
_space_group_IT_number 123
_space_group_name_Hall '-P 4 2'
loop_
_atom_site_label
_atom_site_type_symbol
_atom_site_fract_x
_atom_site_fract_y
_atom_site_fract_z
Sc1 Sc 0.0000 0.0000 0.0000
Al1 Al 0.0000 0.0000 0.5000
Te1 Te 0.0000 0.5000 0.0000
P1 P 0.5000 0.5000 0.5000

---

# ScAlPW2 | Alexandria via LeMat-Bulk | PBE | optimized geometry
# Formation energy from the elements   40 kJ/mol of atoms
# Total magnetization   0.000 μB/atom
# Volume   94.9 Å³/f.u.
# E   -7.8685 eV per atom
data_ScAlPW2
_cell_length_a 4.4643
_cell_length_b 4.4643
_cell_length_c 4.7607
_cell_angle_alpha 90.00
_cell_angle_beta 90.00
_cell_angle_gamma 90.00
_space_group_name_H-M_alt 'P 4/m m m'
_space_group_IT_number 123
_space_group_name_Hall '-P 4 2'
loop_
_atom_site_label
_atom_site_type_symbol
_atom_site_fract_x
_atom_site_fract_y
_atom_site_fract_z
Sc1 Sc 0.0000 0.0000 0.0000
Al1 Al 0.5000 0.5000 0.0000
P1 P 0.0000 0.0000 0.5000
W1 W 0.0000 0.5000 0.5000

---

# AlPSe3 | Alexandria via LeMat-Bulk | PBE | optimized geometry
# Total magnetization   0.000 μB/atom
# Polymorph energy (0 for the lowest one)   0.000 eV per atom
# Volume   153.9 Å³/f.u.
# E   -4.3062 eV per atom
# Uncorrected formation energy   -0.385 eV/atom
data_AlPSe3
_cell_length_a 17.3535
_cell_length_b 3.4941
_cell_length_c 11.9712
_cell_angle_alpha 90.00
_cell_angle_beta 121.98
_cell_angle_gamma 90.00
_space_group_name_H-M_alt 'C 1 2/m 1'
_space_group_IT_number 12
loop_
_space_group_symop_operation_xyz
'x,y,z'
'-x,-y,-z'
'-x,y,-z'
'x,-y,z'
'x+1/2,y+1/2,z'
'-x+1/2,-y+1/2,-z'
'-x+1/2,y+1/2,-z'
'x+1/2,-y+1/2,z'
loop_
_atom_site_label
_atom_site_type_symbol
_atom_site_fract_x
_atom_site_fract_y
_atom_site_fract_z
Al1 Al 0.1649 0.0000 0.4067
P1 P 0.0490 0.5000 0.7634
Se1 Se 0.0798 0.5000 0.2230
Se2 Se 0.1326 0.0000 0.9101
Se3 Se 0.1867 0.5000 0.5712

---

# AlPSe2 | Alexandria via LeMat-Bulk | PBE | optimized geometry
# Total magnetization   0.000 μB/atom
# Polymorph energy (0 for the lowest one)   0.691 eV per atom
# Volume   72.5 Å³/f.u.
# E   -3.5637 eV per atom
# Uncorrected formation energy   0.467 eV/atom
data_AlPSe2
_cell_length_a 6.6198
_cell_length_b 6.6198
_cell_length_c 6.6198
_cell_angle_alpha 90.00
_cell_angle_beta 90.00
_cell_angle_gamma 90.00
_space_group_name_H-M_alt 'F -4 3 m'
_space_group_IT_number 216
_space_group_name_Hall 'F -4 2 3'
loop_
_atom_site_label
_atom_site_type_symbol
_atom_site_fract_x
_atom_site_fract_y
_atom_site_fract_z
Al1 Al 0.0000 0.0000 0.0000
P1 P 0.2500 0.2500 0.7500
Se1 Se 0.0000 0.0000 0.5000
Se2 Se 0.2500 0.2500 0.2500

---

# AlPSe2 | Alexandria via LeMat-Bulk | PBE | optimized geometry
# Total magnetization   0.000 μB/atom
# Polymorph energy (0 for the lowest one)   0.135 eV per atom
# Volume   96.7 Å³/f.u.
# E   -4.1197 eV per atom
# Uncorrected formation energy   -0.089 eV/atom
data_AlPSe2
_cell_length_a 13.8461
_cell_length_b 3.7394
_cell_length_c 3.8905
_cell_angle_alpha 90.00
_cell_angle_beta 106.20
_cell_angle_gamma 90.00
_space_group_name_H-M_alt 'C 1 2/m 1'
_space_group_IT_number 12
loop_
_space_group_symop_operation_xyz
'x,y,z'
'-x,-y,-z'
'-x,y,-z'
'x,-y,z'
'x+1/2,y+1/2,z'
'-x+1/2,-y+1/2,-z'
'-x+1/2,y+1/2,-z'
'x+1/2,-y+1/2,z'
loop_
_atom_site_label
_atom_site_type_symbol
_atom_site_fract_x
_atom_site_fract_y
_atom_site_fract_z
Al1 Al 0.0000 0.0000 0.0000
P1 P 0.0000 0.5000 0.5000
Se1 Se 0.1347 0.5000 0.1337